# TbMgScTi PBE relaxed
# **VASP energy**: -19.86 eV/f.u.
# **DOS at the Fermi energy**: 29.2 states/eV/cell
# **ΔH_f (0 K)**: 0.6 eV per formula unit
# **ρ**: 4.8 Mg/m³
data_TbMgScTi
_cell_length_a 7.250
_cell_length_b 7.250
_cell_length_c 7.250
_cell_angle_alpha 90.00
_cell_angle_beta 90.00
_cell_angle_gamma 90.00
_space_group_name_H-M_alt 'F -4 3 m'
_space_group_IT_number 216
_space_group_name_Hall 'F -4 2 3'
loop_
_atom_site_label
_atom_site_fract_x
_atom_site_fract_y
_atom_site_fract_z
Tb1 0.000 0.000 0.000
Mg1 0.250 0.250 0.750
Sc1 0.000 0.000 0.500
Ti1 0.250 0.250 0.250